A relaxed structure of Pm2SnF8, computed with PBE.

a b c (Å): 7.1465 10.5701 4.3853
angles (deg): 90.00 103.18 90.00
Space group C2/m (No. 12)
Asymmetric unit:
1 Pm 0.0000 0.1802 0.0000 (multiplicity 4)
2 Sn 0.0000 0.5000 0.5000 (multiplicity 2)
3 F 0.0000 0.2607 0.5000 (multiplicity 4)
4 F 0.1287 0.0000 0.2978 (multiplicity 4)
5 F 0.1913 0.3644 0.0775 (multiplicity 8)

- E_form (uncorrected): -3.556 eV per atom
- Crystal system: monoclinic
- Spin magnetization: 0.00 μB per formula unit
- D(E_F): 0.00 states/eV per cell